Compound: ZrPaB2O8
Source: Alexandria via LeMat-Bulk
Functional: PBE
Structure: optimized geometry

Output
As for the symmetry: I-4m2. Its uncorrected formation energy is -2.80 eV/atom. As for the total DFT energy (no corrections): -104.651 eV/cell.

POSCAR file:
```
ZrPaB2O8
1.0
-3.310 3.310 2.890
3.310 -3.310 2.890
3.310 3.310 -2.890
Zr Pa B O
1 1 2 8
Direct
0.000 0.000 0.000
0.750 0.250 0.500
0.250 0.750 0.500
0.500 0.500 0.000
0.092 0.414 0.322
0.092 0.770 0.678
0.164 0.336 0.829
0.230 0.908 0.322
0.507 0.336 0.171
0.586 0.908 0.678
0.664 0.493 0.829
0.664 0.836 0.171
```

---

Compound: BPbO2
Source: Alexandria via LeMat-Bulk
Functional: PBE
Structure: optimized geometry

Output
As for the symmetry: I4_1/amd. Its uncorrected formation energy is -1.22 eV/atom. As for the total DFT energy (no corrections): -50.380 eV/cell. For the energy above the most stable polymorph in this dataset, the calculation gives 0.2493 eV/atom.

POSCAR file:
```
BPbO2
1.0
-2.513 2.513 3.548
2.513 -2.513 3.548
2.513 2.513 -3.548
B Pb O
2 2 4
Direct
0.375 0.625 0.750
0.625 0.375 0.250
0.125 0.875 0.250
0.875 0.125 0.750
0.000 0.500 0.500
0.500 0.000 0.000
0.500 0.500 0.000
0.500 0.500 0.500
```

---

Compound: BPbO2
Source: Alexandria via LeMat-Bulk
Functional: PBE
Structure: optimized geometry

Output
As for the symmetry: Cm. Its uncorrected formation energy is -1.31 eV/atom. As for the total DFT energy (no corrections): -25.527 eV/cell. For the energy above the most stable polymorph in this dataset, the calculation gives 0.1651 eV/atom.

POSCAR file:
```
BPbO2
1.0
4.392 -1.344 0.000
4.392 1.344 0.000
-4.037 0.000 5.369
B Pb O
1 1 2
Direct
0.000 0.000 0.000
0.459 0.459 0.441
0.096 0.096 0.247
0.450 0.450 0.870
```

---

Compound: BPb3O4
Source: Alexandria via LeMat-Bulk
Functional: PBE
Structure: optimized geometry

Output
As for the symmetry: Pmn2_1. Its uncorrected formation energy is -1.29 eV/atom. As for the total DFT energy (no corrections): -95.981 eV/cell.

POSCAR file:
```
BPb3O4
1.0
7.542 0.000 0.000
0.000 7.849 0.000
0.000 0.000 4.787
B Pb O
2 6 8
Direct
0.000 0.127 0.000
0.500 0.873 0.500
0.000 0.853 0.472
0.216 0.327 0.484
0.284 0.673 0.984
0.500 0.147 0.972
0.716 0.673 0.984
0.784 0.327 0.484
0.000 0.135 0.327
0.000 0.943 0.932
0.165 0.217 0.912
0.335 0.783 0.412
0.500 0.057 0.432
0.500 0.865 0.827
0.665 0.783 0.412
0.835 0.217 0.912
```

---

Compound: BPb2O
Source: Alexandria via LeMat-Bulk
Functional: PBE
Structure: optimized geometry

Output
As for the symmetry: I-42d. Its uncorrected formation energy is 0.20 eV/atom. As for the total DFT energy (no corrections): -36.507 eV/cell. For the energy above the most stable polymorph in this dataset, the calculation gives 0.0000 eV/atom.

POSCAR file:
```
BPb2O
1.0
-2.692 2.692 5.787
2.692 -2.692 5.787
2.692 2.692 -5.787
B Pb O
2 4 2
Direct
0.000 0.000 0.000
0.750 0.250 0.500
0.122 0.625 0.997
0.375 0.372 0.497
0.628 0.125 0.003
0.875 0.878 0.503
0.250 0.750 0.500
0.500 0.500 0.000
```

---

Compound: BPb3O
Source: Alexandria via LeMat-Bulk
Functional: PBE
Structure: optimized geometry

Output
As for the symmetry: Pm-3m. Its uncorrected formation energy is 0.55 eV/atom. As for the total DFT energy (no corrections): -19.987 eV/cell. For the energy above the most stable polymorph in this dataset, the calculation gives 0.0000 eV/atom.

POSCAR file:
```
BPb3O
1.0
4.945 0.000 0.000
0.000 4.945 0.000
0.000 0.000 4.945
B Pb O
1 3 1
Direct
0.000 0.000 0.000
0.000 0.500 0.500
0.500 0.000 0.500
0.500 0.500 0.000
0.500 0.500 0.500
```